Entry 1:
# MgAl2Si | the Alexandria database | PBE | optimized geometry
# **Formation energy from raw total energies**: 89.1 meV/atom
# **V**: 17.14 A^3/atom
data_MgAl2Si
_space_group_name_H-M_alt 'I 4/m m m'
_space_group_IT_number 139
_space_group_name_Hall '-I 4 2'
_cell_length_a 3.9372
_cell_length_b 3.9372
_cell_length_c 8.8476
_cell_angle_alpha 90.00
_cell_angle_beta 90.00
_cell_angle_gamma 90.00
loop_
_atom_site_label
_atom_site_fract_x
_atom_site_fract_y
_atom_site_fract_z
Mg1 0.0000 0.0000 0.0000
Al1 0.0000 0.5000 0.2500
Si1 0.0000 0.0000 0.5000


Entry 2:
# Cr2MoPb | the Alexandria database | PBE | optimized geometry
# **Formation energy from the elements**: 546 meV per atom
# **V**: 16.64 A^3/atom
data_Cr2MoPb
_space_group_name_H-M_alt 'P 4 m m'
_space_group_IT_number 99
_cell_length_a 3.0154
_cell_length_b 3.0154
_cell_length_c 7.3204
_cell_angle_alpha 90.00
_cell_angle_beta 90.00
_cell_angle_gamma 90.00
loop_
_space_group_symop_operation_xyz
'x,y,z'
'-y,x,z'
'-x,-y,z'
'y,-x,z'
'-x,y,z'
'y,x,z'
'x,-y,z'
'-y,-x,z'
loop_
_atom_site_label
_atom_site_fract_x
_atom_site_fract_y
_atom_site_fract_z
Cr1 0.0000 0.0000 0.0000
Cr2 0.5000 0.5000 0.1775
Mo1 0.0000 0.0000 0.3863
Pb1 0.5000 0.5000 0.6995


Entry 3:
# PtSe4 | the Alexandria database | PBE | optimized geometry
# **Relative energy among the computed polymorphs**: 0 meV/atom
# **Formation energy from raw total energies**: -170.7 meV/atom
# **V**: 24.44 A^3/atom
data_PtSe4
_space_group_name_H-M_alt 'P 1 21/c 1'
_space_group_IT_number 14
_cell_length_a 7.0152
_cell_length_b 5.0274
_cell_length_c 6.9405
_cell_angle_alpha 90.00
_cell_angle_beta 93.26
_cell_angle_gamma 90.00
loop_
_space_group_symop_operation_xyz
'x,y,z'
'-x,-y,-z'
'-x,y+1/2,-z+1/2'
'x,-y+1/2,z+1/2'
loop_
_atom_site_label
_atom_site_fract_x
_atom_site_fract_y
_atom_site_fract_z
Pt1 0.0000 0.0000 0.0000
Se1 0.1930 0.1997 0.2845
Se2 0.2734 0.6715 0.9925


| no. | mass density (g/cm³) |
| --- | --- |
| 1 | 2.6 |
| 2 | 10.2 |
| 3 | 6.9 |